This record from Alexandria describes a relaxed structure of Ba2Zn2Pb. The functional is GGA-PBE.

Properties
symmetry: I4/mmm
formation energy from the elements: -3.720 kcal/mol of atoms
volume: 180 Å³/f.u.
VASP energy: -2.1817 eV per atom

abc: 6.5287 6.5287 6.2604
angles: 58.57 58.57 90.00
Fractional positions:
Pb: 0.0000 0.0000 0.0000
Ba: 0.7500 0.2500 0.5000
Zn: 0.6442 0.6442 0.7117
Ba: 0.2500 0.7500 0.5000
Zn: 0.3558 0.3558 0.2883